Entry 1:
# GGA-PBE CuTePt2, optimized geometry
# Uncorrected formation energy: 0.11 eV/atom
# N(E_F): 0.47 states/eV/atom
# E: -4.718 eV per atom
data_CuTePt2
_space_group_name_H-M_alt 'F -4 3 m'
_space_group_IT_number 216
_space_group_name_Hall 'F -4 2 3'
_cell_length_a 6.485
_cell_length_b 6.485
_cell_length_c 6.485
_cell_angle_alpha 90.00
_cell_angle_beta 90.00
_cell_angle_gamma 90.00
loop_
_atom_site_label
_atom_site_type_symbol
_atom_site_fract_x
_atom_site_fract_y
_atom_site_fract_z
Cu1 Cu 0.000 0.000 0.000
Te1 Te 0.250 0.250 0.750
Pt1 Pt 0.000 0.000 0.500
Pt2 Pt 0.250 0.250 0.250

***

Entry 2:
# GGA-PBE CuTePt4, optimized geometry
# Uncorrected formation energy: 0.20 eV/atom
# N(E_F): 1.46 states/eV/atom
# E: -5.032 eV per atom
data_CuTePt4
_space_group_name_H-M_alt 'F -4 3 m'
_space_group_IT_number 216
_space_group_name_Hall 'F -4 2 3'
_cell_length_a 7.539
_cell_length_b 7.539
_cell_length_c 7.539
_cell_angle_alpha 90.00
_cell_angle_beta 90.00
_cell_angle_gamma 90.00
loop_
_atom_site_label
_atom_site_type_symbol
_atom_site_fract_x
_atom_site_fract_y
_atom_site_fract_z
Cu1 Cu 0.000 0.000 0.000
Te1 Te 0.250 0.250 0.250
Pt1 Pt 0.125 0.125 0.625

***

Entry 3:
# GGA-PBE CuTe2Pt, optimized geometry
# Uncorrected formation energy: -0.15 eV/atom
# N(E_F): 0.41 states/eV/atom
# Polymorph energy (0 for the lowest one): 0 meV/atom
# E: -4.256 eV per atom
data_CuTe2Pt
_space_group_name_H-M_alt 'A m m 2'
_space_group_IT_number 38
_cell_length_a 4.582
_cell_length_b 5.320
_cell_length_c 7.285
_cell_angle_alpha 90.00
_cell_angle_beta 90.00
_cell_angle_gamma 90.00
loop_
_space_group_symop_operation_xyz
'x,y,z'
'-x,-y,z'
'-x,y,z'
'x,-y,z'
'x,y+1/2,z+1/2'
'-x,-y+1/2,z+1/2'
'-x,y+1/2,z+1/2'
'x,-y+1/2,z+1/2'
loop_
_atom_site_label
_atom_site_type_symbol
_atom_site_fract_x
_atom_site_fract_y
_atom_site_fract_z
Cu1 Cu 0.000 0.000 0.000
Te1 Te 0.000 0.000 0.389
Te2 Te 0.500 0.000 0.813
Pt1 Pt 0.500 0.000 0.198

***

Entry 4:
# GGA-PBE CuTe2Pt, optimized geometry
# Uncorrected formation energy: -0.11 eV/atom
# N(E_F): 0.45 states/eV/atom
# Polymorph energy (0 for the lowest one): 40 meV/atom
# E: -4.216 eV per atom
data_CuTe2Pt
_space_group_name_H-M_alt 'C 1 2/m 1'
_space_group_IT_number 12
_cell_length_a 6.861
_cell_length_b 3.997
_cell_length_c 6.695
_cell_angle_alpha 90.00
_cell_angle_beta 109.69
_cell_angle_gamma 90.00
loop_
_space_group_symop_operation_xyz
'x,y,z'
'-x,-y,-z'
'-x,y,-z'
'x,-y,z'
'x+1/2,y+1/2,z'
'-x+1/2,-y+1/2,-z'
'-x+1/2,y+1/2,-z'
'x+1/2,-y+1/2,z'
loop_
_atom_site_label
_atom_site_type_symbol
_atom_site_fract_x
_atom_site_fract_y
_atom_site_fract_z
Cu1 Cu 0.000 0.000 0.000
Te1 Te 0.243 0.000 0.742
Pt1 Pt 0.000 0.500 0.500

***

Entry 5:
# GGA-PBE CuTe2Pt, optimized geometry
# Uncorrected formation energy: 0.07 eV/atom
# N(E_F): 0.62 states/eV/atom
# Polymorph energy (0 for the lowest one): 220 meV/atom
# E: -4.037 eV per atom
data_CuTe2Pt
_space_group_name_H-M_alt 'C 1 2/m 1'
_space_group_IT_number 12
_cell_length_a 7.733
_cell_length_b 7.640
_cell_length_c 3.041
_cell_angle_alpha 90.00
_cell_angle_beta 90.37
_cell_angle_gamma 90.00
loop_
_space_group_symop_operation_xyz
'x,y,z'
'-x,-y,-z'
'-x,y,-z'
'x,-y,z'
'x+1/2,y+1/2,z'
'-x+1/2,-y+1/2,-z'
'-x+1/2,y+1/2,-z'
'x+1/2,-y+1/2,z'
loop_
_atom_site_label
_atom_site_type_symbol
_atom_site_fract_x
_atom_site_fract_y
_atom_site_fract_z
Cu1 Cu 0.000 0.000 0.000
Te1 Te 0.250 0.250 0.000
Pt1 Pt 0.000 0.500 0.000

***

Entry 6:
# GGA-PBE CuTePt, optimized geometry
# Uncorrected formation energy: -0.11 eV/atom
# N(E_F): 0.66 states/eV/atom
# Polymorph energy (0 for the lowest one): 0 meV/atom
# E: -4.537 eV per atom
data_CuTePt
_space_group_name_H-M_alt 'F -4 3 m'
_space_group_IT_number 216
_space_group_name_Hall 'F -4 2 3'
_cell_length_a 6.212
_cell_length_b 6.212
_cell_length_c 6.212
_cell_angle_alpha 90.00
_cell_angle_beta 90.00
_cell_angle_gamma 90.00
loop_
_atom_site_label
_atom_site_type_symbol
_atom_site_fract_x
_atom_site_fract_y
_atom_site_fract_z
Cu1 Cu 0.000 0.000 0.000
Te1 Te 0.000 0.000 0.500
Pt1 Pt 0.250 0.250 0.250

***

Entry 7:
# GGA-PBE CuTePt, optimized geometry
# Uncorrected formation energy: 0.04 eV/atom
# N(E_F): 0.42 states/eV/atom
# Polymorph energy (0 for the lowest one): 155 meV/atom
# E: -4.382 eV per atom
data_CuTePt
_space_group_name_H-M_alt 'I 4 m m'
_space_group_IT_number 107
_space_group_name_Hall 'I 4 -2'
_cell_length_a 3.624
_cell_length_b 3.624
_cell_length_c 8.080
_cell_angle_alpha 90.00
_cell_angle_beta 90.00
_cell_angle_gamma 90.00
loop_
_atom_site_label
_atom_site_type_symbol
_atom_site_fract_x
_atom_site_fract_y
_atom_site_fract_z
Cu1 Cu 0.000 0.000 0.000
Te1 Te 0.000 0.000 0.672
Pt1 Pt 0.000 0.000 0.339

***

Entry 8:
# GGA-PBE CuTePt2, optimized geometry
# Uncorrected formation energy: 0.02 eV/atom
# N(E_F): 0.78 states/eV/atom
# E: -4.806 eV per atom
data_CuTePt2
_space_group_name_H-M_alt 'I -4 2 d'
_space_group_IT_number 122
_space_group_name_Hall 'I -4 2bw'
_cell_length_a 3.975
_cell_length_b 3.975
_cell_length_c 18.169
_cell_angle_alpha 90.00
_cell_angle_beta 90.00
_cell_angle_gamma 90.00
loop_
_atom_site_label
_atom_site_type_symbol
_atom_site_fract_x
_atom_site_fract_y
_atom_site_fract_z
Cu1 Cu 0.000 0.000 0.000
Te1 Te 0.000 0.000 0.500
Pt1 Pt 0.243 0.250 0.125